This record from the Alexandria database describes a relaxed structure of MnReRu2. The functional is PBE-GGA.

## Properties
- Formation energy: 0.48 eV/f.u.
- Distance to the lowest polymorph of the same formula: 73 meV/atom
- Electronic total energy: -39.691 eV per cell
- M_tot: 1.7 μB per formula unit
- Space-group type: No. 166

CIF file:
```
data_MnReRu2
_chemical_formula_sum 'Mn1 Re1 Ru2'
_cell_length_a 8.846
_cell_length_b 8.846
_cell_length_c 8.846
_cell_angle_alpha 17.57
_cell_angle_beta 17.57
_cell_angle_gamma 17.57
_symmetry_space_group_name_H-M 'P 1'
_symmetry_Int_Tables_number 1
loop_
_symmetry_equiv_pos_as_xyz
'x,y,z'
loop_
_atom_site_label
_atom_site_type_symbol
_atom_site_fract_x
_atom_site_fract_y
_atom_site_fract_z
Mn1 Mn 0.250 0.250 0.250
Re1 Re 0.750 0.750 0.750
Ru1 Ru 0.997 0.997 0.997
Ru2 Ru 0.503 0.503 0.503
```